P) The following is a DFT calculation (PBE) of a relaxed structure of HfRu3Se.

Cell lengths 4.493, 4.493, 4.493 Å; angles 90.00, 90.00, 90.00 degrees
Positions (direct):
Ru (0.000, 0.500, 0.000)
Ru (0.000, 0.000, 0.500)
Ru (0.500, 0.000, 0.000)
Hf (0.500, 0.500, 0.500)
Se (0.000, 0.000, 0.000)

D(E_F): 2.126 states/eV/f.u.



Q) The following is a DFT calculation (PBE) of a relaxed structure of HfRu3Se.

Cell lengths 4.824, 4.824, 4.824 Å; angles 90.00, 90.00, 90.00 degrees
Site moments in Bohr magnetons follow the coordinates.
Positions (direct):
Ru (0.000, 0.500, 0.000)  1.62
Ru (0.000, 0.000, 0.500)  1.34
Ru (0.500, 0.000, 0.000)  1.40
Hf (0.000, 0.000, 0.000)  -0.25
Se (0.500, 0.500, 0.500)  0.12

D(E_F): 5.948 states/eV/f.u.



What should be chosen as the least stable of them? Choose Q).



P) The following is a DFT calculation (PBE) of a relaxed structure of Hf3RuSe.

Cell lengths 4.821, 4.821, 4.821 Å; angles 90.00, 90.00, 90.00 degrees
Positions (direct):
Ru (0.500, 0.500, 0.500)
Hf (0.000, 0.500, 0.000)
Hf (0.000, 0.000, 0.500)
Hf (0.500, 0.000, 0.000)
Se (0.000, 0.000, 0.000)

D(E_F): 3.750 states/eV/f.u.



Q) The following is a DFT calculation (PBE) of a relaxed structure of Hf3RuSe.

Cell lengths 4.970, 4.970, 4.970 Å; angles 90.00, 90.00, 90.00 degrees
Positions (direct):
Ru (0.000, 0.000, 0.000)
Hf (0.000, 0.500, 0.000)
Hf (0.000, 0.000, 0.500)
Hf (0.500, 0.000, 0.000)
Se (0.500, 0.500, 0.500)

D(E_F): 4.042 states/eV/f.u.



What should be chosen as the least stable of them? Choose P).